Compound: Ba2GaBPd6
Source: Alexandria via LeMat-Bulk
Functional: PBE
Structure: relaxed

Cell: 6.0585 7.2311 7.2344 Å, 49.53 65.10 89.93°
Element x y z (fractional)
Ba  0.7203  0.2797  0.5588
Ba  0.2797  0.7204  0.4412
Ga  0.0000  0.0000  0.0000
B  0.5000  0.5000  0.0000
Pd  0.2654  0.2047  0.4689
Pd  0.7967  0.7345  0.9373
Pd  0.2657  0.7350  0.9362
Pd  0.7343  0.2650  0.0638
Pd  0.2033  0.2655  0.0627
Pd  0.7346  0.7953  0.5311

Summary:
As for the formation energy: -52.2 kJ/mol of atoms. As for the total energy: -5.01 eV per atom. The calculation puts the total magnetization at 0.00 Bohr magnetons per cell. The value obtained for the volume is 20.10 Å³ per atom.

Compound: BaGaRe2B
Source: Alexandria via LeMat-Bulk
Functional: PBE
Structure: relaxed

Cell: 4.3095 4.3095 5.1386 Å, 90.00 90.00 90.00°
Element x y z (fractional)
Re  0.0000  0.5000  0.0000
Re  0.5000  0.0000  0.0000
B  0.0000  0.0000  0.0000
Ba  0.5000  0.5000  0.5000
Ga  0.0000  0.0000  0.5000

Summary:
As for the formation energy: 86.2 kJ/mol of atoms. As for the total energy: -6.41 eV per atom. The calculation puts the total magnetization at 0.00 Bohr magnetons per cell. The value obtained for the volume is 19.09 Å³ per atom.

Compound: BaGa2BS6
Source: Alexandria via LeMat-Bulk
Functional: PBE
Structure: relaxed

Cell: 7.8495 8.7113 8.7113 Å, 86.16 66.87 66.87°
Site moments in Bohr magnetons follow the coordinates.
Element x y z (fractional)
Ba  0.2500  0.8323  0.1677  0.00
Ba  0.7500  0.1677  0.8323  0.00
Ga  0.4433  0.7667  0.6071  0.00
Ga  0.0567  0.3929  0.2333  0.00
Ga  0.5567  0.2333  0.3929  0.00
Ga  0.9433  0.6071  0.7667  0.00
B  0.2500  0.1713  0.8287  0.01
B  0.7500  0.8287  0.1713  0.01
S  0.2002  0.9667  0.8232  0.05
S  0.2998  0.1768  0.0333  0.05
S  0.7998  0.0333  0.1768  0.05
S  0.7002  0.8232  0.9667  0.05
S  0.4985  0.8586  0.3508  0.00
S  0.0015  0.6492  0.1414  0.00
S  0.5015  0.1414  0.6492  0.00
S  0.9985  0.3508  0.8586  0.00
S  0.1811  0.6856  0.5711  0.28
S  0.3189  0.4289  0.3144  0.28
S  0.8189  0.3144  0.4289  0.28
S  0.6811  0.5711  0.6856  0.28

Summary:
The formation energy from raw total energies comes out at -0.7133 eV per atom. As for the total energy: -4.66 eV per atom. The calculation puts the total magnetization at 2.04 Bohr magnetons per cell. The value obtained for the volume is 25.05 Å³ per atom.

Compound: Ba3GdB9O18
Source: Alexandria via LeMat-Bulk
Functional: PBE
Structure: relaxed

Cell: 7.2899 7.2899 17.5721 Å, 90.00 90.00 120.00°
Site moments in Bohr magnetons follow the coordinates.
Element x y z (fractional)
Ba  0.6667  0.3333  0.8665  0.00
Ba  0.3333  0.6667  0.1335  0.00
Ba  0.3333  0.6667  0.3665  0.00
Ba  0.6667  0.3333  0.6335  0.00
Ba  0.0000  0.0000  0.7500  0.00
Ba  0.0000  0.0000  0.2500  0.00
Gd  0.0000  0.0000  0.0000  6.92
Gd  0.0000  0.0000  0.5000  6.92
B  0.5490  0.8357  0.9172  0.00
B  0.4510  0.1643  0.0828  0.00
B  0.2867  0.4510  0.9172  0.00
B  0.4510  0.1643  0.4172  0.00
B  0.7133  0.5490  0.0828  0.00
B  0.5490  0.8357  0.5828  0.00
B  0.1643  0.7133  0.9172  0.00
B  0.7133  0.5490  0.4172  0.00
B  0.8357  0.2867  0.0828  0.00
B  0.2867  0.4510  0.5828  0.00
B  0.8357  0.2867  0.4172  0.00
B  0.1643  0.7133  0.5828  0.00
B  0.5045  0.6220  0.7500  0.00
B  0.4955  0.3780  0.2500  0.00
B  0.1175  0.4955  0.7500  0.00
B  0.8825  0.5045  0.2500  0.00
B  0.3780  0.8825  0.7500  0.00
B  0.6220  0.1175  0.2500  0.00
O  0.5415  0.8325  0.7500  0.00
O  0.4585  0.1675  0.2500  0.00
O  0.2910  0.4585  0.7500  0.00
O  0.7090  0.5415  0.2500  0.00
O  0.1675  0.7090  0.7500  0.00
O  0.8325  0.2910  0.2500  0.00
O  0.9203  0.3331  0.7500  0.00
O  0.0797  0.6669  0.2500  0.00
O  0.4128  0.0797  0.7500  0.00
O  0.5872  0.9203  0.2500  0.00
O  0.6669  0.5872  0.7500  0.00
O  0.3331  0.4128  0.2500  0.00
O  0.7478  0.9971  0.9179  -0.01
O  0.2522  0.0029  0.0821  -0.01
O  0.2493  0.2522  0.9179  -0.01
O  0.2522  0.0029  0.4179  -0.01
O  0.7507  0.7478  0.0821  -0.01
O  0.7478  0.9971  0.5821  -0.01
O  0.0029  0.7507  0.9179  -0.01
O  0.7507  0.7478  0.4179  -0.01
O  0.9971  0.2493  0.0821  -0.01
O  0.2493  0.2522  0.5821  -0.01
O  0.9971  0.2493  0.4179  -0.01
O  0.0029  0.7507  0.5821  -0.01
O  0.4975  0.6218  0.9171  0.00
O  0.5025  0.3782  0.0829  0.00
O  0.1243  0.5025  0.9171  0.00
O  0.5025  0.3782  0.4171  0.00
O  0.8757  0.4975  0.0829  0.00
O  0.4975  0.6218  0.5829  0.00
O  0.3782  0.8757  0.9171  0.00
O  0.8757  0.4975  0.4171  0.00
O  0.6218  0.1243  0.0829  0.00
O  0.1243  0.5025  0.5829  0.00
O  0.6218  0.1243  0.4171  0.00
O  0.3782  0.8757  0.5829  0.00

Summary:
The formation energy from raw total energies comes out at -2.7165 eV per atom. As for the total energy: -8.17 eV per atom. The calculation puts the total magnetization at 13.87 Bohr magnetons per cell. The value obtained for the volume is 13.04 Å³ per atom.

Question: Which value of total magnetization does entry 2 give?
Answer: 0.00 Bohr magnetons per cell

Question: Look up the total magnetization of the third one.
Answer: 2.04 Bohr magnetons per cell